DFT (GGA-PBE) results for Ca6HgAu5 after structural relaxation.

```
Ca6HgAu5
1.0
2.584 -7.760 0.000
2.584 7.760 0.000
0.000 0.000 7.355
Ca Hg Au
6 1 5
direct
0.000 0.000 0.243 Ca
0.000 0.000 0.757 Ca
0.331 0.669 0.248 Ca
0.331 0.669 0.752 Ca
0.669 0.331 0.248 Ca
0.669 0.331 0.752 Ca
0.500 0.500 0.500 Hg
0.163 0.837 0.500 Au
0.166 0.834 0.000 Au
0.500 0.500 0.000 Au
0.834 0.166 0.000 Au
0.837 0.163 0.500 Au
```

The formation energy is -0.738 eV per atom. For the uncorrected energy, the calculation gives -0.11500 Ha/atom. The value obtained for the calculated volume is 24.576 Å³/atom.